1.
Entry from the Alexandria database: a relaxed structure of Sn4IrRh (PBE-GGA).

Summary:
Space-group type ... Cmmm
Calculated formation energy ... -0.250 eV/atom
Energy above the lowest structure with this stoichiometry ... 0.0000 eV/atom

a = 3.7261 Å, b = 6.3544 Å, c = 6.3544 Å
α = 90.02°, β = 90.00°, γ = 90.00°
With the nearest neighbours (Å) after each atom.
Atoms (fractional coordinates):
Rh1 0.0000 0.0000 0.0000  6 Sn 2.61-2.64
Ir1 0.5000 0.5000 0.5000  6 Sn 2.63-2.65
Sn1 0.5000 0.7921 0.2079  1 Ir 2.63, 2 Rh 2.64
Sn2 0.5000 0.2079 0.7921  1 Ir 2.63, 2 Rh 2.64
Sn3 0.0000 0.7094 0.7094  1 Rh 2.61, 2 Ir 2.65
Sn4 0.0000 0.2906 0.2906  1 Rh 2.61, 2 Ir 2.65


2.
Entry from the Alexandria database: a relaxed structure of K2Na2ThS4 (PBE-GGA).

Summary:
Space-group type ... C2/m

a = 4.3305 Å, b = 10.5925 Å, c = 8.8200 Å
α = 133.76°, β = 104.21°, γ = 90.00°
With the nearest neighbours (Å) after each atom.
Atoms (fractional coordinates):
Na1 0.6497 0.9177 0.2993  4 S 2.75-2.80
S1 0.7897 0.8676 0.5795  3 Na 2.75-2.80, 1 Th 2.77
Th1 0.0000 0.0000 0.0000  6 S 2.77-2.86
K1 0.1817 0.5675 0.3634  5 S 3.14-3.32
S2 0.4342 0.7636 0.8684  1 Na 2.77, 2 Th 2.86
S3 0.2103 0.1324 0.4205  3 Na 2.75-2.80, 1 Th 2.77
S4 0.5658 0.2364 0.1316  1 Na 2.77, 2 Th 2.86
K2 0.8183 0.4325 0.6366  5 S 3.14-3.32
Na2 0.3503 0.0823 0.7007  4 S 2.75-2.80


3.
Entry from the Alexandria database: a relaxed structure of NaTb2Cu (PBE-GGA).

Summary:
Space-group type ... P4/mmm
Calculated formation energy ... 0.024 eV/atom
Energy above the lowest structure with this stoichiometry ... 0.0000 eV/atom

a = 3.4412 Å, b = 3.4412 Å, c = 9.5126 Å
α = 90.00°, β = 90.00°, γ = 90.00°
With the nearest neighbours (Å) after each atom.
Atoms (fractional coordinates):
Tb1 0.0000 0.0000 0.1794  4 Cu 2.97
Na1 0.5000 0.5000 0.5000  4 Na 3.44
Tb2 0.0000 0.0000 0.8206  4 Cu 2.97
Cu1 0.5000 0.5000 0.0000  8 Tb 2.97


4.
Entry from the Alexandria database: a relaxed structure of K2TlNi (PBE-GGA).

Summary:
Space-group type ... Amm2
Calculated formation energy ... 0.236 eV/atom
Energy above the lowest structure with this stoichiometry ... 0.0678 eV/atom

a = 4.6692 Å, b = 5.3003 Å, c = 6.6043 Å
α = 66.38°, β = 90.00°, γ = 90.00°
With the nearest neighbours (Å) after each atom.
Atoms (fractional coordinates):
Tl1 0.5000 0.5824 0.7103  2 Ni 2.53
K1 0.0000 0.9784 0.9183  3 Ni 3.47-3.82, 4 Tl 3.75
K2 0.5000 0.2764 0.3224  3 Tl 3.54-3.70, 4 Ni 3.79
Ni1 0.0000 0.6628 0.5490  2 Tl 2.53


5.
Entry from the Alexandria database: a relaxed structure of Mg6HRhPb2 (PBE-GGA).

Summary:
Space-group type ... C2/m

a = 6.7290 Å, b = 6.7282 Å, c = 6.6269 Å
α = 60.28°, β = 60.27°, γ = 89.77°
With the nearest neighbours (Å) after each atom.
Atoms (fractional coordinates):
Mg1 0.7323 0.7323 0.0095  1 H 2.26, 1 Rh 2.51
H1 0.5000 0.5000 0.0000  6 Mg 2.23-2.26
Mg2 0.2634 0.7365 0.0001  1 H 2.25, 1 Rh 2.50
Pb1 0.7592 0.2408 0.4999  12 Mg 3.32-3.41
Mg3 0.2677 0.2677 0.9905  1 H 2.26, 1 Rh 2.51
Mg4 0.7309 0.7309 0.5284  1 H 2.23
Rh1 0.0000 0.0000 0.0000  6 Mg 2.50-2.51
Mg5 0.2691 0.2691 0.4716  1 H 2.23
Pb2 0.2408 0.7592 0.5001  12 Mg 3.32-3.41
Mg6 0.7366 0.2635 0.9999  1 H 2.25, 1 Rh 2.50


6.
Entry from the Alexandria database: a relaxed structure of Re2MoI (PBE-GGA).

Summary:
Space-group type ... Fm-3m
Energy above the lowest structure with this stoichiometry ... 0.0000 eV/atom

a = 4.5692 Å, b = 4.5692 Å, c = 4.5692 Å
α = 60.00°, β = 60.00°, γ = 60.00°
With the nearest neighbours (Å) after each atom.
Atoms (fractional coordinates):
Re1 0.2500 0.2500 0.2500  4 Mo 2.80, 4 I 2.80
I1 0.5000 0.5000 0.5000  8 Re 2.80
Mo1 0.0000 0.0000 0.0000  8 Re 2.80
Re2 0.7500 0.7500 0.7500  4 I 2.80, 4 Mo 2.80


7.
Entry from the Alexandria database: a relaxed structure of Al2AsI (PBE-GGA).

Summary:
Space-group type ... Fm-3m
Energy above the lowest structure with this stoichiometry ... 0.2559 eV/atom

a = 5.0192 Å, b = 5.0192 Å, c = 5.0192 Å
α = 60.00°, β = 60.00°, γ = 60.00°
With the nearest neighbours (Å) after each atom.
Atoms (fractional coordinates):
Al1 0.7500 0.7500 0.7500  4 I 3.07, 4 As 3.07
I1 0.5000 0.5000 0.5000  8 Al 3.07
As1 0.0000 0.0000 0.0000  8 Al 3.07
Al2 0.2500 0.2500 0.2500  4 I 3.07, 4 As 3.07


8.
Entry from the Alexandria database: a relaxed structure of Ac6Te3As2Au (PBE-GGA).

Summary:
Space-group type ... C2/m

a = 8.0208 Å, b = 8.0208 Å, c = 8.1386 Å
α = 99.53°, β = 99.53°, γ = 120.01°
With the nearest neighbours (Å) after each atom.
Atoms (fractional coordinates):
Au1 0.0000 0.0000 0.0000  6 Ac 3.22-3.23
Ac1 0.4126 0.0748 0.2267  2 As 3.18, 1 Au 3.22, 3 Te 3.36-3.41
Ac2 0.0748 0.4126 0.2267  2 As 3.18, 1 Au 3.22, 3 Te 3.36-3.41
Te1 0.5000 0.5000 0.5000  6 Ac 3.37-3.41
Ac3 0.7379 0.7379 0.2279  2 As 3.17, 1 Au 3.23, 3 Te 3.37-3.42
Ac4 0.2621 0.2621 0.7721  2 As 3.17, 1 Au 3.23, 3 Te 3.37-3.42
As1 0.6660 0.3340 0.0000  6 Ac 3.17-3.18
Te2 0.8318 0.1682 0.5000  6 Ac 3.36-3.42
Ac5 0.5874 0.9252 0.7733  2 As 3.18, 1 Au 3.22, 3 Te 3.36-3.41
Te3 0.1682 0.8318 0.5000  6 Ac 3.36-3.42
As2 0.3340 0.6660 0.0000  6 Ac 3.17-3.18
Ac6 0.9252 0.5874 0.7733  2 As 3.18, 1 Au 3.22, 3 Te 3.36-3.41


9.
Entry from the Alexandria database: a relaxed structure of CsKScCl6 (PBE-GGA).

Summary:
Space-group type ... P312

a = 7.5830 Å, b = 7.5829 Å, c = 7.3009 Å
α = 90.01°, β = 89.99°, γ = 59.98°
With the nearest neighbours (Å) after each atom.
Atoms (fractional coordinates):
Cl1 0.3920 0.9329 0.6949  1 Sc 2.50
Cs1 0.0000 0.0000 0.0000  6 Cl 3.54
Sc1 0.6666 0.6666 0.5000  6 Cl 2.50
Cl2 0.9328 0.3921 0.3050  1 Sc 2.50
Cl3 0.3925 0.6749 0.3047  1 Sc 2.50
Cl4 0.6751 0.9325 0.3048  1 Sc 2.50
Cl5 0.6749 0.3925 0.6953  1 Sc 2.50
K1 0.3334 0.3334 0.5000  6 Cl 3.18
Cl6 0.9325 0.6751 0.6952  1 Sc 2.50


10.
Entry from the Alexandria database: a relaxed structure of Li2TaSO8 (PBE-GGA).

Summary:
Space-group type ... P-3m1

a = 5.5833 Å, b = 5.5833 Å, c = 5.1118 Å
α = 90.00°, β = 90.00°, γ = 120.00°
With the nearest neighbours (Å) after each atom.
Atoms (fractional coordinates):
Li1 0.3333 0.6667 0.0753  4 O 1.98-2.04
O1 0.8598 0.7195 0.7976  1 S 1.71
O2 0.1402 0.8598 0.2024  1 S 1.71
O3 0.3333 0.6667 0.6771  1 Li 2.04
Li2 0.6667 0.3333 0.9247  4 O 1.98-2.04
O4 0.1402 0.2805 0.2024  1 S 1.71
Ta1 0.0000 0.0000 0.5000  6 O 2.04
O5 0.6667 0.3333 0.3229  1 Li 2.04
O6 0.2805 0.1402 0.7976  1 S 1.71
O7 0.8598 0.1402 0.7976  1 S 1.71
S1 0.0000 0.0000 0.0000  6 O 1.71
O8 0.7195 0.8598 0.2024  1 S 1.71


11.
Entry from the Alexandria database: a relaxed structure of PrSmBi2 (PBE-GGA).

Summary:
Space-group type ... P4/mmm
Calculated formation energy ... -0.753 eV/atom
Energy above the lowest structure with this stoichiometry ... 0.1891 eV/atom

a = 3.4653 Å, b = 5.9894 Å, c = 5.9894 Å
α = 90.00°, β = 90.00°, γ = 90.00°
With the nearest neighbours (Å) after each atom.
Atoms (fractional coordinates):
Bi1 0.0000 0.0000 0.5000  4 Sm 3.46, 4 Pr 3.46, 2 Bi 3.47
Bi2 0.0000 0.5000 0.0000  4 Sm 3.46, 4 Pr 3.46, 2 Bi 3.47
Pr1 0.5000 0.0000 0.0000  8 Bi 3.46, 2 Pr 3.47
Sm1 0.5000 0.5000 0.5000  8 Bi 3.46, 2 Sm 3.47


12.
Entry from the Alexandria database: a relaxed structure of Tb4Er2Tm (PBE-GGA).

Summary:
Space-group type ... C2/m
Calculated formation energy ... 0.039 eV/atom
Energy above the lowest structure with this stoichiometry ... 0.0000 eV/atom

a = 3.5036 Å, b = 9.3410 Å, c = 8.5087 Å
α = 121.73°, β = 78.13°, γ = 112.02°
With the nearest neighbours (Å) after each atom.
Atoms (fractional coordinates):
Er1 0.3592 0.4296 0.1406  3 Er 3.13-3.50, 1 Tm 3.30, 3 Tb 3.32-3.46
Tb1 0.1941 0.8343 0.2789  7 Tb 3.50-3.80, 4 Er 3.55-3.56, 2 Tm 3.72
Tb2 0.4095 0.7065 0.5927  3 Er 3.32-3.46, 5 Tb 3.50-3.58, 2 Tm 3.53-3.54
Tb3 0.8059 0.1657 0.7211  7 Tb 3.50-3.80, 4 Er 3.55-3.56, 2 Tm 3.72
Er2 0.6408 0.5704 0.8594  3 Er 3.13-3.50, 1 Tm 3.30, 3 Tb 3.32-3.46
Tm1 0.0000 0.0000 0.0000  2 Er 3.30, 2 Tm 3.50, 4 Tb 3.53-3.54
Tb4 0.5905 0.2935 0.4073  3 Er 3.32-3.46, 5 Tb 3.50-3.58, 2 Tm 3.53-3.54


| no. | total energy (eV per atom) | M_tot (μB per formula unit) | calculated density (Mg/m³) |
| --- | --- | --- | --- |
| 1 | -5.621 | 0.00 | 8.50 |
| 2 | -4.668 | 0.00 | 2.93 |
| 3 | -3.645 | 0.00 | 5.96 |
| 4 | -2.349 | 0.00 | 3.78 |
| 5 | -2.804 | 0.00 | 5.15 |
| 6 | -8.104 | 0.00 | 14.65 |
| 7 | -3.071 | 0.00 | 4.75 |
| 8 | -5.279 | 0.00 | 8.12 |
| 9 | -3.901 | 1.17 | 1.96 |
| 10 | -5.941 | 3.00 | 4.27 |
| 11 | -5.068 | 0.00 | 9.47 |
| 12 | -4.549 | 0.00 | 8.62 |